#A
Computed, not measured: an optimized crystal structure of TlAsAuCl at the GGA-PBE level of DFT.

The structure belongs to space group P1 (No. 1); the cell edges are 3.514, 3.577 and 9.242 Å and the angles 79.19°, 86.34° and 89.99°. Symmetry generates all atoms from Tl at (0.000, 0.000, 0.000), As at (0.572, 0.711, 0.555), Au at (0.054, 0.164, 0.652) and Cl at (0.471, 0.415, 0.174).

The value obtained for the total magnetization is 0.00 Bohr magnetons per cell.

***

#B
Computed, not measured: an optimized crystal structure of TlAsAuCl at the GGA-PBE level of DFT.

The structure belongs to space group P1 (No. 1); the cell edges are 3.905, 3.908 and 7.914 Å and the angles 84.68°, 84.76° and 66.93°. Symmetry generates all atoms from Tl at (0.000, 0.000, 0.000), As at (0.696, 0.698, 0.704), Au at (0.361, 0.364, 0.577) and Cl at (0.323, 0.322, 0.238).

The value obtained for the total magnetization is 0.00 Bohr magnetons per cell.

***

#C
Computed, not measured: an optimized crystal structure of TlAsAuCl at the GGA-PBE level of DFT.

The structure belongs to space group Cm (No. 8); the cell edges are 5.003, 5.003 and 9.054 Å and the angles 90.00°, 106.04° and 90.00°. Symmetry generates all atoms from Tl at (0.000, 0.000, 0.000), As at (0.321, 0.000, 0.636), Au at (0.271, 0.500, 0.537) and Cl at (0.097, 0.500, 0.193).

The value obtained for the total magnetization is 0.00 Bohr magnetons per cell.

***

Most stable to least stable, the ends of the list are #C and #B.

***

#A
Computed, not measured: an optimized crystal structure of TlAsAuCl at the GGA-PBE level of DFT.

The structure belongs to space group Cm (No. 8); the cell edges are 7.647, 4.437 and 7.300 Å and the angles 90.00°, 110.34° and 90.00°. Symmetry generates all atoms from Tl at (0.000, 0.000, 0.000), As at (0.057, 0.500, 0.663), Au at (0.241, 0.000, 0.718) and Cl at (0.437, 0.000, 0.319).

The value obtained for the total magnetization is 0.00 Bohr magnetons per cell.

***

#B
Computed, not measured: an optimized crystal structure of TlAsAuCl at the GGA-PBE level of DFT.

The structure belongs to space group P1 (No. 1); the cell edges are 4.695, 4.860 and 5.668 Å and the angles 82.80°, 65.88° and 89.91°. Symmetry generates all atoms from Tl at (0.000, 0.000, 0.000), As at (0.203, 0.557, 0.601), Au at (0.721, 0.728, 0.564) and Cl at (0.404, 0.397, 0.192).

The value obtained for the total magnetization is 0.00 Bohr magnetons per cell.

***

Most stable to least stable, the ends of the list are #A and #B.

***

#A
Computed, not measured: an optimized crystal structure of Co2As2Au at the GGA-PBE level of DFT.

The structure belongs to space group P4/mbm (No. 127); the cell edges are 6.918, 6.918 and 2.988 Å and the angles 90.00°, 90.00° and 90.00°. Symmetry generates all atoms from Co at (0.135, 0.365, 0.000), As at (0.152, 0.652, 0.500) and Au at (0.000, 0.000, 0.000).

The value obtained for the total magnetization is 0.00 Bohr magnetons per cell.

***

#B
Computed, not measured: an optimized crystal structure of Co2As2Au at the GGA-PBE level of DFT.

The structure belongs to space group I4/mmm (No. 139); the cell edges are 3.793, 3.793 and 10.621 Å and the angles 90.00°, 90.00° and 90.00°. Symmetry generates all atoms from Co at (0.000, 0.000, 0.117), As at (0.000, 0.500, 0.250) and Au at (0.000, 0.000, 0.500).

The value obtained for the total magnetization is 0.00 Bohr magnetons per cell.

***

Most stable to least stable, the ends of the list are #A and #B.

***

#A
Computed, not measured: an optimized crystal structure of Cr3AsAu at the GGA-PBE level of DFT.

The structure belongs to space group Pm-3m (No. 221); the cell edges are 4.729, 4.729 and 4.729 Å and the angles 90.00°, 90.00° and 90.00°. Symmetry generates all atoms from Cr at (0.000, 0.000, 0.500), As at (0.000, 0.000, 0.000) and Au at (0.500, 0.500, 0.500).

The value obtained for the total magnetization is 12.17 Bohr magnetons per cell.

***

#B
Computed, not measured: an optimized crystal structure of Cr3AsAu at the GGA-PBE level of DFT.

The structure belongs to space group Pm-3m (No. 221); the cell edges are 4.968, 4.968 and 4.968 Å and the angles 90.00°, 90.00° and 90.00°. Symmetry generates all atoms from Cr at (0.000, 0.000, 0.500), As at (0.500, 0.500, 0.500) and Au at (0.000, 0.000, 0.000).

The value obtained for the total magnetization is 12.88 Bohr magnetons per cell.

***

Most stable to least stable, the ends of the list are #A and #B.

***

#A
Computed, not measured: an optimized crystal structure of CsAsAu at the GGA-PBE level of DFT.

The structure belongs to space group P-1 (No. 2); the cell edges are 5.745, 6.233 and 8.439 Å and the angles 95.54°, 90.02° and 117.08°. Symmetry generates all atoms from Cs at (0.135, 0.272, 0.262), As at (0.407, 0.813, 0.049) and Au at (0.465, 0.929, 0.346).

The value obtained for the total magnetization is 0.00 Bohr magnetons per cell.

***

#B
Computed, not measured: an optimized crystal structure of CsAsAu at the GGA-PBE level of DFT.

The structure belongs to space group I4mm (No. 107); the cell edges are 3.789, 3.789 and 12.943 Å and the angles 90.00°, 90.00° and 90.00°. Symmetry generates all atoms from Cs at (0.000, 0.000, 0.000), As at (0.000, 0.000, 0.727) and Au at (0.000, 0.000, 0.266).

The value obtained for the total magnetization is 0.00 Bohr magnetons per cell.

***

Most stable to least stable, the ends of the list are #A and #B.

***

#A
Computed, not measured: an optimized crystal structure of Cs2AsAu2 at the GGA-PBE level of DFT.

The structure belongs to space group P4/mbm (No. 127); the cell edges are 7.336, 7.336 and 5.818 Å and the angles 90.00°, 90.00° and 90.00°. Symmetry generates all atoms from Cs at (0.178, 0.322, 0.000), As at (0.000, 0.000, 0.500) and Au at (0.143, 0.643, 0.500).

The value obtained for the total magnetization is 0.00 Bohr magnetons per cell.

***

#B
Computed, not measured: an optimized crystal structure of Cs2AsAu2 at the GGA-PBE level of DFT.

The structure belongs to space group Immm (No. 71); the cell edges are 4.779, 5.712 and 11.977 Å and the angles 90.00°, 90.00° and 90.00°. Symmetry generates all atoms from Cs at (0.000, 0.000, 0.198), As at (0.000, 0.500, 0.000) and Au at (0.000, 0.253, 0.500).

The value obtained for the total magnetization is 0.00 Bohr magnetons per cell.

***

#C
Computed, not measured: an optimized crystal structure of Cs2AsAu2 at the GGA-PBE level of DFT.

The structure belongs to space group I4/mmm (No. 139); the cell edges are 7.153, 7.153 and 7.656 Å and the angles 90.00°, 90.00° and 90.00°. Symmetry generates all atoms from Cs at (0.000, 0.500, 0.250), As at (0.000, 0.000, 0.000) and Au at (0.000, 0.000, 0.328).

The value obtained for the total magnetization is 2.00 Bohr magnetons per cell.

***

Most stable to least stable, the ends of the list are #B and #A.

***

#A
Computed, not measured: an optimized crystal structure of CsAsAu3 at the GGA-PBE level of DFT.

The structure belongs to space group Pm-3m (No. 221); the cell edges are 5.214, 5.214 and 5.214 Å and the angles 90.00°, 90.00° and 90.00°. Symmetry generates all atoms from Cs at (0.000, 0.000, 0.000), As at (0.500, 0.500, 0.500) and Au at (0.000, 0.500, 0.500).

The value obtained for the total magnetization is 0.00 Bohr magnetons per cell.

***

#B
Computed, not measured: an optimized crystal structure of CsAsAu3 at the GGA-PBE level of DFT.

The structure belongs to space group Pmn2_1 (No. 31); the cell edges are 6.726, 6.227 and 6.879 Å and the angles 90.00°, 90.00° and 90.00°. Symmetry generates all atoms from Cs at (0.000, 0.108, 0.000), As at (0.000, 0.638, 0.657), Au at (0.000, 0.021, 0.520) and Au at (0.211, 0.396, 0.394).

The value obtained for the total magnetization is 0.00 Bohr magnetons per cell.

***

Most stable to least stable, the ends of the list are #B and #A.

***

#A
Computed, not measured: an optimized crystal structure of CsK2AsAu at the GGA-PBE level of DFT.

The structure belongs to space group P4/mmm (No. 123); the cell edges are 6.401, 6.401 and 5.092 Å and the angles 90.00°, 90.00° and 90.00°. Symmetry generates all atoms from Cs at (0.000, 0.000, 0.000), K at (0.000, 0.500, 0.500), As at (0.500, 0.500, 0.000) and Au at (0.500, 0.500, 0.500).

The value obtained for the total magnetization is 0.39 Bohr magnetons per cell.

***

#B
Computed, not measured: an optimized crystal structure of CsK2AsAu at the GGA-PBE level of DFT.

The structure belongs to space group P4/mmm (No. 123); the cell edges are 6.513, 6.513 and 5.109 Å and the angles 90.00°, 90.00° and 90.00°. Symmetry generates all atoms from Cs at (0.000, 0.000, 0.000), K at (0.000, 0.500, 0.500), As at (0.500, 0.500, 0.500) and Au at (0.500, 0.500, 0.000).

The value obtained for the total magnetization is 0.26 Bohr magnetons per cell.

***

Most stable to least stable, the ends of the list are #B and #A.

***

#A
Computed, not measured: an optimized crystal structure of CuAsAu at the GGA-PBE level of DFT.

The structure belongs to space group Amm2 (No. 38); the cell edges are 13.034, 2.979 and 5.162 Å and the angles 90.00°, 90.00° and 90.00°. Symmetry generates all atoms from Cu at (0.000, 0.000, 0.000), Cu at (0.500, 0.000, 0.006), As at (0.349, 0.000, 0.674) and Au at (0.158, 0.000, 0.334).

The value obtained for the total magnetization is 0.00 Bohr magnetons per cell.

***

#B
Computed, not measured: an optimized crystal structure of CuAsAu at the GGA-PBE level of DFT.

The structure belongs to space group Imm2 (No. 44); the cell edges are 3.175, 3.645 and 8.553 Å and the angles 90.00°, 90.00° and 90.00°. Symmetry generates all atoms from Cu at (0.000, 0.000, 0.000), As at (0.000, 0.000, 0.635) and Au at (0.000, 0.000, 0.326).

The value obtained for the total magnetization is 0.00 Bohr magnetons per cell.

***

#C
Computed, not measured: an optimized crystal structure of CuAsAu at the GGA-PBE level of DFT.

The structure belongs to space group F-43m (No. 216); the cell edges are 6.095, 6.095 and 6.095 Å and the angles 90.00°, 90.00° and 90.00°. Symmetry generates all atoms from Cu at (0.000, 0.000, 0.000), As at (0.000, 0.000, 0.500) and Au at (0.250, 0.250, 0.750).

The value obtained for the total magnetization is 0.00 Bohr magnetons per cell.

***

Most stable to least stable, the ends of the list are #C and #A.

***

#A
Computed, not measured: an optimized crystal structure of CuAsAu at the GGA-PBE level of DFT.

The structure belongs to space group Fmm2 (No. 42); the cell edges are 4.052, 4.064 and 12.128 Å and the angles 90.00°, 90.00° and 90.00°. Symmetry generates all atoms from Cu at (0.000, 0.000, 0.000), As at (0.000, 0.000, 0.356) and Au at (0.000, 0.000, 0.654).

The value obtained for the total magnetization is 0.00 Bohr magnetons per cell.

***

#B
Computed, not measured: an optimized crystal structure of CuAsAu at the GGA-PBE level of DFT.

The structure belongs to space group P3m1 (No. 156); the cell edges are 2.9841, 2.9841 and 6.4468 Å and the angles 90.00°, 90.00° and 120.00°. Symmetry generates all atoms from Cu at (0.0000, 0.0000, 0.0000), As at (0.6667, 0.3333, 0.2900) and Au at (0.3333, 0.6667, 0.6788).

The value obtained for the total magnetization is 0.00 Bohr magnetons per cell.

***

Most stable to least stable, the ends of the list are #A and #B.

***

#A
Computed, not measured: an optimized crystal structure of CuAs2Au at the GGA-PBE level of DFT.

The structure belongs to space group P4/mmm (No. 123); the cell edges are 2.860, 2.860 and 8.515 Å and the angles 90.00°, 90.00° and 90.00°. Symmetry generates all atoms from Cu at (0.000, 0.000, 0.000), As at (0.500, 0.500, 0.215) and Au at (0.000, 0.000, 0.500).

The value obtained for the total magnetization is 0.00 Bohr magnetons per cell.

***

#B
Computed, not measured: an optimized crystal structure of CuAs2Au at the GGA-PBE level of DFT.

The structure belongs to space group Pmm2 (No. 25); the cell edges are 2.818, 3.669 and 7.073 Å and the angles 90.00°, 90.00° and 90.00°. Symmetry generates all atoms from Cu at (0.000, 0.000, 0.000), As at (0.000, 0.000, 0.543), As at (0.500, 0.500, 0.166) and Au at (0.500, 0.500, 0.761).

The value obtained for the total magnetization is 0.00 Bohr magnetons per cell.

***

Most stable to least stable, the ends of the list are #B and #A.

***

#A
Computed, not measured: an optimized crystal structure of CuAs2Au at the GGA-PBE level of DFT.

The structure belongs to space group Imm2 (No. 44); the cell edges are 4.071, 4.086 and 8.382 Å and the angles 90.00°, 90.00° and 90.00°. Symmetry generates all atoms from Cu at (0.000, 0.000, 0.000), As at (0.000, 0.000, 0.498), As at (0.000, 0.500, 0.748) and Au at (0.000, 0.500, 0.249).

The value obtained for the total magnetization is 0.00 Bohr magnetons per cell.

***

#B
Computed, not measured: an optimized crystal structure of CuAs2Au at the GGA-PBE level of DFT.

The structure belongs to space group I-42d (No. 122); the cell edges are 5.661, 5.661 and 11.201 Å and the angles 90.00°, 90.00° and 90.00°. Symmetry generates all atoms from Cu at (0.000, 0.000, 0.000), As at (0.221, 0.250, 0.125) and Au at (0.000, 0.000, 0.500).

The value obtained for the total magnetization is 0.00 Bohr magnetons per cell.

***

Most stable to least stable, the ends of the list are #B and #A.